1.
A plane-wave DFT calculation with PBE was carried out for a relaxed structure of Ba2YTc3O12.

a = 7.0013 Å, b = 7.0013 Å, c = 7.0013 Å
α = 63.91°, β = 63.91°, γ = 63.91°
Last column: nearest neighbours and their distance in Å.
Element x y z (fractional)
Ba: 0.6194 0.6194 0.6194  3 O 2.66
Ba: 0.3806 0.3806 0.3806  3 O 2.66
Y: 0.0000 0.0000 0.0000  6 O 2.36
Tc: 0.5000 0.0000 0.0000  6 O 1.90-1.94
Tc: 0.0000 0.5000 0.0000  6 O 1.90-1.94
Tc: 0.0000 0.0000 0.5000  6 O 1.90-1.94
O: 0.2889 0.2889 0.9082  2 Tc 1.94
O: 0.8815 0.8815 0.3944  1 Tc 1.90
O: 0.3944 0.8815 0.8815  1 Tc 1.90
O: 0.9082 0.2889 0.2889  2 Tc 1.94
O: 0.8815 0.3944 0.8815  1 Tc 1.90
O: 0.2889 0.9082 0.2889  2 Tc 1.94
O: 0.7111 0.7111 0.0918  2 Tc 1.94
O: 0.1185 0.1185 0.6056  1 Tc 1.90
O: 0.6056 0.1185 0.1185  1 Tc 1.90
O: 0.0918 0.7111 0.7111  2 Tc 1.94
O: 0.1185 0.6056 0.1185  1 Tc 1.90
O: 0.7111 0.0918 0.7111  2 Tc 1.94

Values from the calculation:
total moment: 0.1 μB/f.u.
uncorrected formation energy: -1961 meV/atom
space group: R-3m
calculated total energy: -7.567 eV per atom
density: 5352 kg/m3


2.
A plane-wave DFT calculation with PBE was carried out for a relaxed structure of BaYTcO6.

a = 5.6187 Å, b = 5.6188 Å, c = 5.6155 Å
α = 90.00°, β = 90.00°, γ = 60.00°
Last column: nearest neighbours and their distance in Å.
Element x y z (fractional)
Ba: 0.0000 0.0000 0.0000  6 O 2.74
Y: 0.6666 0.6667 0.5000  6 O 2.25
Tc: 0.3333 0.3334 0.5000  6 O 1.91
O: 0.0448 0.3571 0.3036  1 Tc 1.91
O: 0.3571 0.0448 0.6963  1 Tc 1.91
O: 0.5981 0.3572 0.6963  1 Tc 1.91
O: 0.0447 0.5982 0.6963  1 Tc 1.91
O: 0.3571 0.5981 0.3036  1 Tc 1.91
O: 0.5981 0.0447 0.3037  1 Tc 1.91

Values from the calculation:
total moment: 0.0 μB/f.u.
uncorrected formation energy: -2269 meV/atom
space group: P312
calculated total energy: -7.658 eV per atom
density: 4545 kg/m3


Question: Which of these has the lowest calculated total energy?
Answer: BaYTcO6